# 1
## CeDySc2P4 (GGA-PBE)

Data for a relaxed structure of CeDySc2P4.

Structure (POSCAR):
```
CeDySc2P4
1.0
6.725 0.000 0.000
0.000 3.911 0.000
-2.262 0.000 6.382
Ce Dy Sc P
1 1 2 4
direct
0.000 0.000 0.000
0.000 0.500 0.500
0.500 0.000 0.500
0.500 0.500 0.000
0.265 0.000 0.755
0.267 0.500 0.257
0.733 0.500 0.743
0.735 0.000 0.245
```

Properties
* calculated total energy: -56.9 eV per formula unit
* crystal system: monoclinic
* volume: 20.982 Å³/atom
* M_tot: 0.31 μB per cell


# 2
## Ce3DySc2P6 (GGA-PBE)

Data for a relaxed structure of Ce3DySc2P6.

Structure (POSCAR):
```
Ce3DySc2P6
1.0
3.443 -5.965 0.000
3.443 5.965 0.000
-2.300 0.000 6.442
Ce Dy Sc P
3 1 2 6
direct
0.000 0.000 0.000
0.335 0.665 0.000
0.665 0.335 0.000
0.500 0.500 0.500
0.167 0.833 0.500
0.833 0.167 0.500
0.079 0.421 0.263
0.237 0.237 0.735
0.421 0.079 0.263
0.579 0.921 0.737
0.763 0.763 0.265
0.921 0.579 0.737
```

Properties
* calculated total energy: -85.5 eV per formula unit
* crystal system: monoclinic
* volume: 22.049 Å³/atom
* M_tot: 1.34 μB per cell


# 3
## CeDy2ScP4 (GGA-PBE)

Data for a relaxed structure of CeDy2ScP4.

Structure (POSCAR):
```
CeDy2ScP4
1.0
6.847 0.000 0.000
0.000 3.973 0.000
-2.282 0.000 6.484
Ce Dy Sc P
1 2 1 4
direct
0.000 0.000 0.000
0.000 0.500 0.500
0.500 0.000 0.500
0.500 0.500 0.000
0.256 0.500 0.247
0.260 0.000 0.760
0.740 0.000 0.240
0.744 0.500 0.753
```

Properties
* calculated total energy: -55.4 eV per formula unit
* crystal system: monoclinic
* volume: 22.045 Å³/atom
* M_tot: 0.28 μB per cell


# 4
## CeSm2Dy3P6 (GGA-PBE)

Data for a relaxed structure of CeSm2Dy3P6.

Structure (POSCAR):
```
CeSm2Dy3P6
1.0
3.509 -6.076 0.000
3.509 6.076 0.000
-2.339 0.000 6.610
Ce Sm Dy P
1 2 3 6
direct
0.000 0.000 0.000
0.334 0.666 0.000
0.666 0.334 0.000
0.167 0.833 0.500
0.500 0.500 0.500
0.833 0.167 0.500
0.085 0.414 0.255
0.245 0.245 0.746
0.414 0.085 0.255
0.586 0.915 0.745
0.755 0.755 0.254
0.915 0.586 0.745
```

Properties
* calculated total energy: -80.7 eV per formula unit
* crystal system: monoclinic
* volume: 23.493 Å³/atom
* M_tot: 0.30 μB per cell


# 5
## Ce2SmDyP4 (GGA-PBE)

Data for a relaxed structure of Ce2SmDyP4.

Structure (POSCAR):
```
Ce2SmDyP4
1.0
7.045 0.000 0.000
0.000 4.073 0.000
-2.355 0.000 6.651
Ce Sm Dy P
2 1 1 4
direct
0.000 0.000 0.000
0.000 0.500 0.500
0.500 0.000 0.500
0.500 0.500 0.000
0.248 0.500 0.246
0.251 0.000 0.753
0.749 0.000 0.247
0.752 0.500 0.754
```

Properties
* calculated total energy: -55.2 eV per formula unit
* crystal system: monoclinic
* volume: 23.855 Å³/atom
* M_tot: 0.99 μB per cell


# 6
## Ce3SmDy4P8 (GGA-PBE)

Data for a relaxed structure of Ce3SmDy4P8.

Structure (POSCAR):
```
Ce3SmDy4P8
1.0
4.050 2.338 6.599
-4.050 2.338 6.599
0.000 -4.677 6.599
Ce Sm Dy P
3 1 4 8
direct
0.000 0.500 0.500
0.500 0.000 0.500
0.500 0.500 0.000
0.000 0.000 0.000
0.000 0.000 0.500
0.000 0.500 0.000
0.500 0.000 0.000
0.500 0.500 0.500
0.249 0.249 0.249
0.251 0.748 0.748
0.252 0.252 0.749
0.252 0.749 0.252
0.748 0.251 0.748
0.748 0.748 0.251
0.749 0.252 0.252
0.751 0.751 0.751
```

Properties
* calculated total energy: -109.3 eV per formula unit
* crystal system: trigonal
* volume: 23.436 Å³/atom
* M_tot: 1.43 μB per cell